No. 1
# BeCl, relaxed, DFT PBE-GGA
data_BeCl
_chemical_formula_sum 'Be4 Cl4'
_cell_length_a 3.782
_cell_length_b 3.782
_cell_length_c 13.918
_cell_angle_alpha 90.00
_cell_angle_beta 90.00
_cell_angle_gamma 120.00
_symmetry_space_group_name_H-M 'P 1'
_symmetry_Int_Tables_number 1
loop_
_symmetry_equiv_pos_as_xyz
'x,y,z'
loop_
_atom_site_label
_atom_site_type_symbol
_atom_site_fract_x
_atom_site_fract_y
_atom_site_fract_z
_atom_site_occupancy
Be1 Be 0.667 0.333 0.250 1
Be2 Be 0.000 0.000 0.750 1
Be3 Be 0.333 0.667 0.750 1
Be4 Be 0.000 0.000 0.250 1
Cl1 Cl 0.667 0.333 0.867 1
Cl2 Cl 0.333 0.667 0.367 1
Cl3 Cl 0.667 0.333 0.633 1
Cl4 Cl 0.333 0.667 0.133 1
# * space-group type: P6_3/mmc
# * energy relative to the lowest polymorph listed for this composition: 1.0970 eV/atom
# * formation energy (no corrections): 51.16 kJ/mol of atoms

---

No. 2
# Be3Cl, relaxed, DFT PBE-GGA
data_Be3Cl
_chemical_formula_sum 'Be3 Cl1'
_cell_length_a 2.732
_cell_length_b 2.732
_cell_length_c 6.576
_cell_angle_alpha 90.00
_cell_angle_beta 90.00
_cell_angle_gamma 90.00
_symmetry_space_group_name_H-M 'P 1'
_symmetry_Int_Tables_number 1
loop_
_symmetry_equiv_pos_as_xyz
'x,y,z'
loop_
_atom_site_label
_atom_site_type_symbol
_atom_site_fract_x
_atom_site_fract_y
_atom_site_fract_z
_atom_site_occupancy
Cl1 Cl 0.500 0.500 0.750 1
Be1 Be 0.000 0.000 0.044 1
Be2 Be 0.000 0.000 0.456 1
Be3 Be 0.500 0.500 0.250 1
# * space-group type: P4/mmm
# * energy relative to the lowest polymorph listed for this composition: 0.5020 eV/atom
# * formation energy (no corrections): 53.94 kJ/mol of atoms

---

No. 3
# Be3Cl, relaxed, DFT PBE-GGA
data_Be3Cl
_chemical_formula_sum 'Be3 Cl1'
_cell_length_a 4.197
_cell_length_b 4.197
_cell_length_c 4.197
_cell_angle_alpha 90.00
_cell_angle_beta 90.00
_cell_angle_gamma 90.00
_symmetry_space_group_name_H-M 'P 1'
_symmetry_Int_Tables_number 1
loop_
_symmetry_equiv_pos_as_xyz
'x,y,z'
loop_
_atom_site_label
_atom_site_type_symbol
_atom_site_fract_x
_atom_site_fract_y
_atom_site_fract_z
_atom_site_occupancy
Be1 Be 0.000 0.000 0.500 1
Be2 Be 0.500 0.000 0.000 1
Be3 Be 0.000 0.500 0.000 1
Cl1 Cl 0.000 0.000 0.000 1
# * space-group type: Pm-3m
# * energy relative to the lowest polymorph listed for this composition: 1.9191 eV/atom
# * formation energy (no corrections): 190.66 kJ/mol of atoms

---

No. 4
# Be3Cl, relaxed, DFT PBE-GGA
data_Be3Cl
_chemical_formula_sum 'Be3 Cl1'
_cell_length_a 6.819
_cell_length_b 6.819
_cell_length_c 6.819
_cell_angle_alpha 24.41
_cell_angle_beta 24.41
_cell_angle_gamma 24.41
_symmetry_space_group_name_H-M 'P 1'
_symmetry_Int_Tables_number 1
loop_
_symmetry_equiv_pos_as_xyz
'x,y,z'
loop_
_atom_site_label
_atom_site_type_symbol
_atom_site_fract_x
_atom_site_fract_y
_atom_site_fract_z
_atom_site_occupancy
Cl1 Cl 0.000 0.000 0.000 1
Be1 Be 0.246 0.246 0.246 1
Be2 Be 0.500 0.500 0.500 1
Be3 Be 0.754 0.754 0.754 1
# * space-group type: R-3m
# * energy relative to the lowest polymorph listed for this composition: 0.3368 eV/atom
# * formation energy (no corrections): 38.00 kJ/mol of atoms

---

No. 5
# BeCl, relaxed, DFT PBE-GGA
data_BeCl
_chemical_formula_sum 'Be2 Cl2'
_cell_length_a 3.105
_cell_length_b 3.105
_cell_length_c 8.495
_cell_angle_alpha 90.00
_cell_angle_beta 90.00
_cell_angle_gamma 120.00
_symmetry_space_group_name_H-M 'P 1'
_symmetry_Int_Tables_number 1
loop_
_symmetry_equiv_pos_as_xyz
'x,y,z'
loop_
_atom_site_label
_atom_site_type_symbol
_atom_site_fract_x
_atom_site_fract_y
_atom_site_fract_z
_atom_site_occupancy
Be1 Be 0.667 0.333 0.243 1
Be2 Be 0.000 0.000 0.007 1
Cl1 Cl 0.000 0.000 0.392 1
Cl2 Cl 0.667 0.333 0.858 1
# * space-group type: P-3m1
# * energy relative to the lowest polymorph listed for this composition: 0.2357 eV/atom
# * formation energy (no corrections): -31.95 kJ/mol of atoms

---

No. 6
# Be7Cl6, relaxed, DFT PBE-GGA
data_Be7Cl6
_chemical_formula_sum 'Be7 Cl6'
_cell_length_a 11.440
_cell_length_b 11.440
_cell_length_c 11.440
_cell_angle_alpha 24.23
_cell_angle_beta 24.23
_cell_angle_gamma 24.23
_symmetry_space_group_name_H-M 'P 1'
_symmetry_Int_Tables_number 1
loop_
_symmetry_equiv_pos_as_xyz
'x,y,z'
loop_
_atom_site_label
_atom_site_type_symbol
_atom_site_fract_x
_atom_site_fract_y
_atom_site_fract_z
_atom_site_occupancy
Cl1 Cl 0.625 0.625 0.625 1
Cl2 Cl 0.375 0.375 0.375 1
Cl3 Cl 0.913 0.913 0.913 1
Cl4 Cl 0.820 0.820 0.820 1
Cl5 Cl 0.087 0.087 0.087 1
Cl6 Cl 0.180 0.180 0.180 1
Be1 Be 0.600 0.078 0.600 1
Be2 Be 0.400 0.400 0.922 1
Be3 Be 0.400 0.922 0.400 1
Be4 Be 0.078 0.600 0.600 1
Be5 Be 0.600 0.600 0.078 1
Be6 Be 0.500 0.500 0.500 1
Be7 Be 0.922 0.400 0.400 1
# * space-group type: R-3m
# * formation energy (no corrections): 0.69 kJ/mol of atoms

---

No. 7
# BeCl, relaxed, DFT PBE-GGA
data_BeCl
_chemical_formula_sum 'Be2 Cl2'
_cell_length_a 2.922
_cell_length_b 2.922
_cell_length_c 8.397
_cell_angle_alpha 90.00
_cell_angle_beta 90.00
_cell_angle_gamma 90.00
_symmetry_space_group_name_H-M 'P 1'
_symmetry_Int_Tables_number 1
loop_
_symmetry_equiv_pos_as_xyz
'x,y,z'
loop_
_atom_site_label
_atom_site_type_symbol
_atom_site_fract_x
_atom_site_fract_y
_atom_site_fract_z
_atom_site_occupancy
Cl1 Cl 0.000 0.000 0.393 1
Cl2 Cl 0.500 0.500 0.857 1
Be1 Be 0.500 0.500 0.244 1
Be2 Be 0.000 0.000 0.006 1
# * space-group type: P4/nmm
# * energy relative to the lowest polymorph listed for this composition: 0.6626 eV/atom
# * formation energy (no corrections): 9.24 kJ/mol of atoms

---

No. 8
# BeCl5, relaxed, DFT PBE-GGA
data_BeCl5
_chemical_formula_sum 'Be1 Cl5'
_cell_length_a 7.885
_cell_length_b 7.885
_cell_length_c 7.419
_cell_angle_alpha 89.55
_cell_angle_beta 89.55
_cell_angle_gamma 23.58
_symmetry_space_group_name_H-M 'P 1'
_symmetry_Int_Tables_number 1
loop_
_symmetry_equiv_pos_as_xyz
'x,y,z'
loop_
_atom_site_label
_atom_site_type_symbol
_atom_site_fract_x
_atom_site_fract_y
_atom_site_fract_z
_atom_site_occupancy
Cl1 Cl 0.468 0.468 0.778 1
Cl2 Cl 0.755 0.755 0.779 1
Cl3 Cl 0.049 0.049 0.276 1
Cl4 Cl 0.354 0.354 0.279 1
Cl5 Cl 0.612 0.612 0.778 1
Be1 Be 0.929 0.929 0.277 1
# * space-group type: Cm
# * energy relative to the lowest polymorph listed for this composition: 0.0000 eV/atom
# * formation energy (no corrections): -50.54 kJ/mol of atoms

---

No. 9
# BeCl, relaxed, DFT PBE-GGA
data_BeCl
_chemical_formula_sum 'Be3 Cl3'
_cell_length_a 5.952
_cell_length_b 5.952
_cell_length_c 7.577
_cell_angle_alpha 63.84
_cell_angle_beta 63.84
_cell_angle_gamma 31.42
_symmetry_space_group_name_H-M 'P 1'
_symmetry_Int_Tables_number 1
loop_
_symmetry_equiv_pos_as_xyz
'x,y,z'
loop_
_atom_site_label
_atom_site_type_symbol
_atom_site_fract_x
_atom_site_fract_y
_atom_site_fract_z
_atom_site_occupancy
Cl1 Cl 0.059 0.059 0.907 1
Cl2 Cl 0.816 0.816 0.863 1
Cl3 Cl 0.050 0.050 0.453 1
Be1 Be 0.370 0.370 0.613 1
Be2 Be 0.691 0.691 0.754 1
Be3 Be 0.182 0.182 0.575 1
# * space-group type: Cm
# * energy relative to the lowest polymorph listed for this composition: 0.1496 eV/atom
# * formation energy (no corrections): -40.26 kJ/mol of atoms

---

No. 10
# BeCl, relaxed, DFT PBE-GGA
data_BeCl
_chemical_formula_sum 'Be2 Cl2'
_cell_length_a 6.752
_cell_length_b 6.752
_cell_length_c 6.752
_cell_angle_alpha 152.68
_cell_angle_beta 152.68
_cell_angle_gamma 39.02
_symmetry_space_group_name_H-M 'P 1'
_symmetry_Int_Tables_number 1
loop_
_symmetry_equiv_pos_as_xyz
'x,y,z'
loop_
_atom_site_label
_atom_site_type_symbol
_atom_site_fract_x
_atom_site_fract_y
_atom_site_fract_z
_atom_site_occupancy
Be1 Be 0.000 0.000 0.000 1
Be2 Be 0.250 0.750 0.500 1
Cl1 Cl 0.750 0.250 0.500 1
Cl2 Cl 0.500 0.500 0.000 1
# * space-group type: I4_1/amd
# * energy relative to the lowest polymorph listed for this composition: 0.9250 eV/atom
# * formation energy (no corrections): 34.56 kJ/mol of atoms

---

No. 11
# BeCl, relaxed, DFT PBE-GGA
data_BeCl
_chemical_formula_sum 'Be2 Cl2'
_cell_length_a 4.490
_cell_length_b 4.490
_cell_length_c 3.024
_cell_angle_alpha 90.00
_cell_angle_beta 90.00
_cell_angle_gamma 90.00
_symmetry_space_group_name_H-M 'P 1'
_symmetry_Int_Tables_number 1
loop_
_symmetry_equiv_pos_as_xyz
'x,y,z'
loop_
_atom_site_label
_atom_site_type_symbol
_atom_site_fract_x
_atom_site_fract_y
_atom_site_fract_z
_atom_site_occupancy
Be1 Be 0.250 0.250 0.008 1
Be2 Be 0.750 0.750 0.992 1
Cl1 Cl 0.750 0.250 0.000 1
Cl2 Cl 0.250 0.750 0.000 1
# * space-group type: P4/nmm
# * energy relative to the lowest polymorph listed for this composition: 0.7945 eV/atom
# * formation energy (no corrections): 21.97 kJ/mol of atoms

---

No. 12
# BeCl, relaxed, DFT PBE-GGA
data_BeCl
_chemical_formula_sum 'Be2 Cl2'
_cell_length_a 5.611
_cell_length_b 5.611
_cell_length_c 3.231
_cell_angle_alpha 90.00
_cell_angle_beta 90.00
_cell_angle_gamma 102.28
_symmetry_space_group_name_H-M 'P 1'
_symmetry_Int_Tables_number 1
loop_
_symmetry_equiv_pos_as_xyz
'x,y,z'
loop_
_atom_site_label
_atom_site_type_symbol
_atom_site_fract_x
_atom_site_fract_y
_atom_site_fract_z
_atom_site_occupancy
Be1 Be 0.899 0.101 0.750 1
Be2 Be 0.101 0.899 0.250 1
Cl1 Cl 0.308 0.692 0.250 1
Cl2 Cl 0.692 0.308 0.750 1
# * space-group type: Cmcm
# * energy relative to the lowest polymorph listed for this composition: 0.2665 eV/atom
# * formation energy (no corrections): -28.98 kJ/mol of atoms